Here is a geometry-optimized NaTa2Hg structure from the Alexandria database. Energies are from PBE.

Cell lengths 7.986, 7.986, 6.245 Å; angles 50.25, 50.25, 90.00 degrees
Fractional positions:
Na  0.500  0.500  0.000
Na  0.250  0.750  0.500
Hg  0.000  0.000  0.000
Hg  0.750  0.250  0.500
Ta  0.641  0.125  0.250
Ta  0.109  0.625  0.250
Ta  0.375  0.359  0.750
Ta  0.875  0.891  0.750

Calculated values
Total DFT energy (no corrections)   -41.25 eV/cell
SG   No. 122
Calculated density   11.433 g/cm³

Here is a geometry-optimized Ta2Zn2Cd structure from the Alexandria database. Energies are from PBE.

Cell lengths 6.627, 6.627, 3.876 Å; angles 90.00, 90.00, 90.00 degrees
Fractional positions:
Zn  0.370  0.870  0.000
Zn  0.870  0.630  0.000
Zn  0.630  0.130  0.000
Zn  0.130  0.370  0.000
Cd  0.000  0.000  0.000
Cd  0.500  0.500  0.000
Ta  0.164  0.664  0.500
Ta  0.664  0.836  0.500
Ta  0.836  0.336  0.500
Ta  0.336  0.164  0.500

Calculated values
Total DFT energy (no corrections)   -51.42 eV/cell
SG   No. 127
Calculated density   11.808 g/cm³

Here is a geometry-optimized InHgSeN2 structure from the Alexandria database. Energies are from PBE.

Cell lengths 4.280, 4.280, 5.856 Å; angles 90.00, 90.00, 90.00 degrees
Site moments in Bohr magnetons follow the coordinates.
Fractional positions:
N  0.000  0.500  0.000  1.14
N  0.500  0.000  0.000  1.14
Hg  0.500  0.500  0.500  0.02
Se  0.000  0.000  0.500  0.13
In  0.000  0.000  0.000  -0.01

Calculated values
Total DFT energy (no corrections)   -16.64 eV/cell
Formation energy without anion corrections   1307 meV per atom
SG   No. 123
Relative energy among the computed polymorphs   0 meV per atom
Calculated density   6.538 g/cm³

Here is a geometry-optimized YBe2Pb structure from the Alexandria database. Energies are from PBE.

Cell lengths 6.057, 6.057, 6.057 Å; angles 142.86, 142.29, 53.97 degrees
Fractional positions:
Pb  0.499  0.499  0.000
Y  0.237  0.737  0.500
Be  0.924  0.924  0.000
Be  0.840  0.340  0.500

Calculated values
Total DFT energy (no corrections)   -17.10 eV/cell
SG   No. 44
Calculated density   6.397 g/cm³

Here is a geometry-optimized VZnIn2 structure from the Alexandria database. Energies are from PBE.

Cell lengths 4.081, 4.271, 4.271 Å; angles 90.00, 90.00, 90.00 degrees
Site moments in Bohr magnetons follow the coordinates.
Fractional positions:
Zn  0.500  0.500  0.500  -0.04
V  0.500  0.000  0.000  1.72
In  0.000  0.000  0.500  -0.06
In  0.000  0.500  0.000  -0.06

Calculated values
Total DFT energy (no corrections)   -15.03 eV/cell
SG   No. 123
Calculated density   7.719 g/cm³

Here is a geometry-optimized TbCdGa2 structure from the Alexandria database. Energies are from PBE.

Cell lengths 4.184, 7.774, 10.612 Å; angles 90.00, 90.00, 90.00 degrees
Fractional positions:
Tb  0.750  0.858  0.138
Tb  0.250  0.142  0.862
Tb  0.750  0.358  0.362
Tb  0.250  0.642  0.638
Cd  0.250  0.494  0.110
Cd  0.250  0.994  0.390
Cd  0.750  0.506  0.890
Cd  0.750  0.006  0.610
Ga  0.750  0.858  0.834
Ga  0.250  0.142  0.166
Ga  0.750  0.358  0.666
Ga  0.250  0.642  0.334
Ga  0.750  0.739  0.442
Ga  0.250  0.761  0.942
Ga  0.750  0.239  0.058
Ga  0.250  0.261  0.558

Calculated values
Total DFT energy (no corrections)   -53.35 eV/cell
SG   No. 62
Calculated density   7.904 g/cm³

Here is a geometry-optimized Tc3OsN structure from the Alexandria database. Energies are from PBE.

Cell lengths 4.022, 4.022, 4.022 Å; angles 90.00, 90.00, 90.00 degrees
Fractional positions:
Os  0.500  0.500  0.500
Tc  0.000  0.500  0.000
Tc  0.000  0.000  0.500
Tc  0.500  0.000  0.000
N  0.000  0.000  0.000

Calculated values
Total DFT energy (no corrections)   -50.09 eV/cell
Formation energy without anion corrections   112 meV per atom
SG   No. 221
Relative energy among the computed polymorphs   0 meV per atom
Calculated density   12.716 g/cm³

Here is a geometry-optimized LiCoGe2 structure from the Alexandria database. Energies are from PBE.

Cell lengths 2.919, 2.919, 8.232 Å; angles 79.79, 79.79, 60.00 degrees
Site moments in Bohr magnetons follow the coordinates.
Fractional positions:
Li  0.500  0.500  0.500  0.01
Co  0.000  0.000  0.000  0.84
Ge  0.259  0.259  0.224  -0.01
Ge  0.741  0.741  0.776  -0.01

Calculated values
Total DFT energy (no corrections)   -18.75 eV/cell
SG   No. 166
Relative energy among the computed polymorphs   69 meV per atom
Calculated density   5.897 g/cm³

Here is a geometry-optimized Ba3LaCe2Te6 structure from the Alexandria database. Energies are from PBE.

Cell lengths 8.141, 8.141, 8.383 Å; angles 99.31, 99.31, 119.97 degrees
Site moments in Bohr magnetons follow the coordinates.
Fractional positions:
Ba  0.166  0.834  0.500  0.01
Ba  0.834  0.166  0.500  0.01
Ba  0.500  0.500  0.500  0.01
La  0.000  0.000  0.000  0.07
Ce  0.333  0.667  0.000  1.11
Ce  0.667  0.333  0.000  1.11
Te  0.924  0.589  0.773  -0.01
Te  0.739  0.739  0.226  -0.01
Te  0.076  0.411  0.227  -0.01
Te  0.589  0.924  0.773  -0.01
Te  0.261  0.261  0.774  -0.01
Te  0.411  0.076  0.227  -0.01

Calculated values
Total DFT energy (no corrections)   -60.24 eV/cell
Formation energy without anion corrections   -1568 meV per atom
SG   No. 12
Calculated density   5.822 g/cm³

Here is a geometry-optimized ZrPaNi structure from the Alexandria database. Energies are from PBE.

Cell lengths 3.143, 3.143, 6.429 Å; angles 104.15, 104.15, 90.00 degrees
Fractional positions:
Ni  0.672  0.672  0.344
Pa  0.018  0.018  0.035
Zr  0.310  0.310  0.621

Calculated values
Total DFT energy (no corrections)   -24.26 eV/cell
SG   No. 107
Relative energy among the computed polymorphs   136 meV per atom
Calculated density   10.614 g/cm³

Here is a geometry-optimized Rb2TlHg7Au2 structure from the Alexandria database. Energies are from PBE.

Cell lengths 4.787, 4.787, 16.508 Å; angles 84.88, 84.88, 89.44 degrees
Fractional positions:
Rb  0.873  0.873  0.338
Rb  0.127  0.127  0.662
Tl  0.000  0.000  0.000
Hg  0.500  0.500  0.000
Hg  0.327  0.327  0.445
Hg  0.673  0.673  0.555
Hg  0.929  0.431  0.157
Hg  0.431  0.929  0.157
Hg  0.569  0.071  0.843
Hg  0.071  0.569  0.843
Au  0.605  0.605  0.732
Au  0.395  0.395  0.268

Calculated values
Total DFT energy (no corrections)   -14.73 eV/cell
SG   No. 12
Calculated density   9.617 g/cm³

Here is a geometry-optimized AcSiO6 structure from the Alexandria database. Energies are from PBE.

Cell lengths 6.012, 6.012, 6.012 Å; angles 60.00, 60.00, 60.00 degrees
Site moments in Bohr magnetons follow the coordinates.
Fractional positions:
Ac  0.500  0.500  0.500  -0.01
Si  0.000  0.000  0.000  -0.04
O  0.795  0.795  0.205  0.70
O  0.795  0.205  0.205  0.70
O  0.205  0.795  0.795  0.70
O  0.205  0.205  0.795  0.70
O  0.205  0.795  0.205  0.70
O  0.795  0.205  0.795  0.70

Calculated values
Total DFT energy (no corrections)   -50.65 eV/cell
Formation energy without anion corrections   -1421 meV per atom
SG   No. 225
Calculated density   3.793 g/cm³

Here is a geometry-optimized NbTeC3 structure from the Alexandria database. Energies are from PBE.

Cell lengths 4.276, 4.276, 4.276 Å; angles 90.00, 90.00, 90.00 degrees
Fractional positions:
Nb  0.000  0.000  0.000
Te  0.500  0.500  0.500
C  0.000  0.500  0.000
C  0.000  0.000  0.500
C  0.500  0.000  0.000

Calculated values
Total DFT energy (no corrections)   -30.41 eV/cell
Formation energy without anion corrections   2095 meV per atom
SG   No. 221
Relative energy among the computed polymorphs   0 meV per atom
Calculated density   5.450 g/cm³

Here is a geometry-optimized Mg6Re7 structure from the Alexandria database. Energies are from PBE.

Cell lengths 9.981, 9.981, 9.981 Å; angles 30.43, 30.43, 30.43 degrees
Fractional positions:
Re  0.915  0.407  0.407
Re  0.407  0.407  0.915
Re  0.407  0.915  0.407
Re  0.085  0.593  0.593
Re  0.593  0.085  0.593
Re  0.593  0.593  0.085
Re  0.500  0.500  0.500
Mg  0.949  0.949  0.949
Mg  0.051  0.051  0.051
Mg  0.849  0.849  0.849
Mg  0.151  0.151  0.151
Mg  0.666  0.666  0.666
Mg  0.334  0.334  0.334

Calculated values
Total DFT energy (no corrections)   -94.26 eV/cell
SG   No. 166
Calculated density   10.641 g/cm³

Here is a geometry-optimized Li2Ca2CuSi4 structure from the Alexandria database. Energies are from PBE.

Cell lengths 6.162, 6.162, 6.162 Å; angles 85.87, 122.41, 122.41 degrees
Fractional positions:
Li  0.000  0.719  0.719
Li  0.000  0.281  0.281
Ca  0.500  0.750  0.250
Ca  0.500  0.250  0.750
Cu  0.000  0.000  0.000
Si  0.000  0.710  0.290
Si  0.420  0.710  0.710
Si  0.000  0.290  0.710
Si  0.580  0.290  0.290

Calculated values
Total DFT energy (no corrections)   -35.96 eV/cell
Formation energy without anion corrections   -260 meV per atom
SG   No. 139
Calculated density   2.819 g/cm³

Here is a geometry-optimized Pm2Th3Sn3 structure from the Alexandria database. Energies are from PBE.

Cell lengths 4.433, 5.013, 11.231 Å; angles 102.89, 101.38, 90.00 degrees
Fractional positions:
Pm  0.746  0.246  0.491
Pm  0.254  0.754  0.509
Th  0.616  0.616  0.232
Th  0.384  0.384  0.768
Th  0.500  0.000  0.000
Sn  0.134  0.134  0.267
Sn  0.000  0.500  0.000
Sn  0.866  0.866  0.733

Calculated values
Total DFT energy (no corrections)   -47.20 eV/cell
SG   No. 71
Calculated density   9.356 g/cm³

Here is a geometry-optimized Na3YEr3Te8 structure from the Alexandria database. Energies are from PBE.

Cell lengths 8.673, 8.675, 9.178 Å; angles 118.22, 90.00, 119.99 degrees
Fractional positions:
Na  0.000  0.000  0.000
Na  0.000  0.500  0.000
Na  0.500  0.500  0.000
Y  0.000  0.000  0.500
Er  0.500  0.000  0.500
Er  0.500  0.500  0.500
Er  0.000  0.500  0.500
Te  0.256  0.513  0.269
Te  0.744  0.487  0.731
Te  0.754  0.508  0.269
Te  0.246  0.492  0.731
Te  0.754  0.015  0.269
Te  0.246  0.985  0.731
Te  0.261  0.015  0.269
Te  0.739  0.985  0.731

Calculated values
Total DFT energy (no corrections)   -67.94 eV/cell
Formation energy without anion corrections   -1246 meV per atom
SG   No. 166
Calculated density   5.569 g/cm³

Here is a geometry-optimized MoPdSCl2 structure from the Alexandria database. Energies are from PBE.

Cell lengths 4.863, 4.863, 4.624 Å; angles 90.00, 90.00, 90.00 degrees
Site moments in Bohr magnetons follow the coordinates.
Fractional positions:
Mo  0.000  0.000  0.000  1.10
S  0.000  0.000  0.500  -0.05
Pd  0.500  0.500  0.500  -0.25
Cl  0.000  0.500  0.000  0.04
Cl  0.500  0.000  0.000  0.04

Calculated values
Total DFT energy (no corrections)   -23.04 eV/cell
Formation energy without anion corrections   161 meV per atom
SG   No. 123
Relative energy among the computed polymorphs   0 meV per atom
Calculated density   4.637 g/cm³

Here is a geometry-optimized BiP3S structure from the Alexandria database. Energies are from PBE.

Cell lengths 5.295, 5.295, 5.295 Å; angles 90.00, 90.00, 90.00 degrees
Site moments in Bohr magnetons follow the coordinates.
Fractional positions:
P  0.000  0.500  0.000  0.36
P  0.000  0.000  0.500  0.33
P  0.500  0.000  0.000  0.29
S  0.500  0.500  0.500  0.54
Bi  0.000  0.000  0.000  0.02

Calculated values
Total DFT energy (no corrections)   -15.30 eV/cell
Formation energy without anion corrections   1787 meV per atom
SG   No. 221
Relative energy among the computed polymorphs   1072 meV per atom
Calculated density   3.735 g/cm³

Here is a geometry-optimized LaTc2Rh structure from the Alexandria database. Energies are from PBE.

Cell lengths 4.627, 4.627, 4.627 Å; angles 60.00, 60.00, 60.00 degrees
Site moments in Bohr magnetons follow the coordinates.
Fractional positions:
Rh  0.000  0.000  0.000  0.23
Tc  0.250  0.250  0.250  0.33
Tc  0.750  0.750  0.750  0.33
La  0.500  0.500  0.500  0.03

Calculated values
Total DFT energy (no corrections)   -31.13 eV/cell
SG   No. 225
Relative energy among the computed polymorphs   414 meV per atom
Calculated density   10.377 g/cm³